(1)
This record from Alexandria via LeMat-Bulk describes an optimized crystal structure of La2Ho2Th. The functional is PBE.

Cell lengths 3.625, 3.625, 14.840 Å; angles 82.99, 82.99, 60.00 degrees
Element x y z (fractional)
La 0.799 0.799 0.603
Ho 0.397 0.397 0.810
Ho 0.603 0.603 0.190
Th 0.000 0.000 0.000
La 0.201 0.201 0.397

Results
**Formation enthalpy at 0 K**: 18 meV/atom
**Space group**: No. 166
**Spin magnetization**: 0.0000 μB/atom
**Density of states at the Fermi level**: 7.2 states/eV/cell

***

(2)
This record from Alexandria via LeMat-Bulk describes an optimized crystal structure of BaNa3U4S12. The functional is PBE.

Cell lengths 8.761, 8.761, 8.761 Å; angles 109.47, 109.47, 109.47 degrees
Site moments in Bohr magnetons follow the coordinates.
Element x y z (fractional)
Na 0.500 0.000 0.500  0.00
U 0.000 0.500 0.000  1.42
S 0.710 0.808 0.519  -0.06
S 0.710 0.192 0.902  -0.06
S 0.192 0.902 0.710  -0.06
S 0.290 0.808 0.098  -0.06
S 0.808 0.098 0.290  -0.06
S 0.808 0.519 0.710  -0.06
S 0.481 0.290 0.192  -0.06
S 0.902 0.710 0.192  -0.06
S 0.519 0.710 0.808  -0.06
Ba 0.000 0.000 0.000  0.00
Na 0.000 0.500 0.500  0.00
U 0.000 0.000 0.500  1.42
U 0.500 0.500 0.500  1.42
Na 0.500 0.500 0.000  0.00
U 0.500 0.000 0.000  1.42
S 0.290 0.192 0.481  -0.06
S 0.192 0.481 0.290  -0.06
S 0.098 0.290 0.808  -0.06

Results
**Space group**: No. 204
**Spin magnetization**: 0.2500 μB/atom
**ΔE_f (raw)**: -1373 meV per atom
**Density of states at the Fermi level**: 13.0 states/eV/cell

***

(3)
This record from Alexandria via LeMat-Bulk describes an optimized crystal structure of SmDySnSe. The functional is PBE.

Cell lengths 4.287, 4.290, 6.103 Å; angles 90.02, 90.00, 90.00 degrees
Element x y z (fractional)
Sm 0.500 0.391 0.093
Se 0.000 0.891 0.092
Sn 0.500 0.392 0.593
Dy 0.000 0.892 0.592

Results
**Space group**: No. 123
**Spin magnetization**: 0.0000 μB/atom
**ΔE_f (raw)**: -1267 meV per atom
**Density of states at the Fermi level**: 1.0 states/eV/cell

***

(4)
This record from Alexandria via LeMat-Bulk describes an optimized crystal structure of Li2CaAsO. The functional is PBE.

Cell lengths 4.185, 4.185, 4.593 Å; angles 90.00, 90.00, 90.00 degrees
Site moments in Bohr magnetons follow the coordinates.
Element x y z (fractional)
Li 0.000 0.500 0.000  0.00
Li 0.500 0.000 0.000  0.00
O 0.000 0.000 0.000  0.07
Ca 0.000 0.000 0.500  0.01
As 0.500 0.500 0.500  0.14

Results
**Space group**: No. 123
**Spin magnetization**: 0.0853 μB/atom
**ΔE_f (raw)**: -1369 meV per atom
**Density of states at the Fermi level**: 4.0 states/eV/cell

***

(5)
This record from Alexandria via LeMat-Bulk describes an optimized crystal structure of PmRuO4. The functional is PBE.

Cell lengths 5.444, 7.675, 7.522 Å; angles 100.67, 90.00, 90.00 degrees
Element x y z (fractional)
Ru 0.270 0.158 0.295
O 0.002 0.321 0.371
Pm 0.718 0.349 0.600
O 0.357 0.163 0.549
O 0.577 0.051 0.195
O 0.923 0.051 0.695
O 0.481 0.383 0.326
Pm 0.218 0.651 0.900
O 0.423 0.949 0.805
O 0.998 0.679 0.629
Pm 0.282 0.651 0.400
O 0.857 0.837 0.951
O 0.019 0.383 0.826
O 0.502 0.679 0.129
Pm 0.782 0.349 0.100
O 0.077 0.949 0.305
O 0.643 0.837 0.451
O 0.143 0.163 0.049
Ru 0.230 0.158 0.795
Ru 0.770 0.842 0.205
O 0.981 0.617 0.174
O 0.498 0.321 0.871
Ru 0.730 0.842 0.705
O 0.519 0.617 0.674

Results
**Space group**: No. 14
**Spin magnetization**: 0.0012 μB/atom
**ΔE_f (raw)**: -1959 meV per atom
**Density of states at the Fermi level**: 13.5 states/eV/cell

***

(6)
This record from Alexandria via LeMat-Bulk describes an optimized crystal structure of Pr6CoIr2I3. The functional is PBE.

Cell lengths 7.271, 7.271, 8.529 Å; angles 98.16, 98.16, 120.00 degrees
Element x y z (fractional)
Pr 0.386 0.061 0.183
I 0.500 0.500 0.500
Pr 0.736 0.736 0.184
Pr 0.264 0.264 0.816
Pr 0.061 0.386 0.183
Pr 0.939 0.614 0.817
Co 0.000 0.000 0.000
Ir 0.333 0.667 0.000
Ir 0.667 0.333 0.000
I 0.167 0.833 0.500
Pr 0.614 0.939 0.817
I 0.833 0.167 0.500

Results
**Space group**: No. 12
**Spin magnetization**: 0.0000 μB/atom
**ΔE_f (raw)**: -824 meV per atom
**Density of states at the Fermi level**: 3.4 states/eV/cell